[1]
Density functional theory data (PBE) for a relaxed ZnNiPtPb crystal.

```
data_ZnNiPtPb
_cell_length_a 6.4286
_cell_length_b 6.4286
_cell_length_c 6.4286
_cell_angle_alpha 90.00
_cell_angle_beta 90.00
_cell_angle_gamma 90.00
_symmetry_space_group_name_H-M 'F -4 3 m'
_symmetry_Int_Tables_number 216
_symmetry_space_group_name_Hall 'F -4 2 3'
loop_
_atom_site_label
_atom_site_fract_x
_atom_site_fract_y
_atom_site_fract_z
_atom_site_occupancy
Zn1 0.0000 0.0000 0.0000 1
Ni1 0.2500 0.2500 0.7500 1
Pt1 0.2500 0.2500 0.2500 1
Pb1 0.0000 0.0000 0.5000 1
```

crystal system = cubic
energy = -66.54 eV per cell

[2]
Density functional theory data (PBE) for a relaxed CsRbGd2O4 crystal.

```
data_CsRbGd2O4
_cell_length_a 3.5398
_cell_length_b 3.5398
_cell_length_c 13.2225
_cell_angle_alpha 90.00
_cell_angle_beta 90.00
_cell_angle_gamma 120.00
_symmetry_space_group_name_H-M 'P -6 m 2'
_symmetry_Int_Tables_number 187
_symmetry_space_group_name_Hall 'P -6 2'
loop_
_atom_site_label
_atom_site_fract_x
_atom_site_fract_y
_atom_site_fract_z
_atom_site_occupancy
Cs1 0.0000 0.0000 0.0000 1
Rb1 0.3333 0.6667 0.5000 1
Gd1 0.6667 0.3333 0.2568 1
O1 0.0000 0.0000 0.3440 1
O2 0.3333 0.6667 0.1698 1
```

crystal system = hexagonal
energy = -51.96 eV per cell

[3]
Density functional theory data (PBE) for a relaxed Nb4Al3Mo2C3 crystal.

```
data_Nb4Al3Mo2C3
_cell_length_a 9.3166
_cell_length_b 5.3799
_cell_length_c 14.0030
_cell_angle_alpha 90.00
_cell_angle_beta 102.87
_cell_angle_gamma 90.00
_symmetry_space_group_name_H-M 'C 1 2/c 1'
_symmetry_Int_Tables_number 15
loop_
_symmetry_equiv_pos_as_xyz
'x,y,z'
'-x,-y,-z'
'-x,y,-z+1/2'
'x,-y,z+1/2'
'x+1/2,y+1/2,z'
'-x+1/2,-y+1/2,-z'
'-x+1/2,y+1/2,-z+1/2'
'x+1/2,-y+1/2,z+1/2'
loop_
_atom_site_label
_atom_site_fract_x
_atom_site_fract_y
_atom_site_fract_z
_atom_site_occupancy
Nb1 0.1141 0.0839 0.0917 1
Nb2 0.2195 0.0832 0.4082 1
Al1 0.0000 0.1104 0.7500 1
Al2 0.1533 0.4298 0.2499 1
Mo1 0.0547 0.4169 0.9153 1
C1 0.0836 0.2490 0.5000 1
C2 0.2500 0.2500 0.0000 1
```

crystal system = monoclinic
energy = -423.39 eV per cell

[4]
Density functional theory data (PBE) for a relaxed TbTm2Ga3NiSn2 crystal.

```
data_TbTm2Ga3NiSn2
_cell_length_a 4.2408
_cell_length_b 12.6285
_cell_length_c 7.1988
_cell_angle_alpha 90.00
_cell_angle_beta 90.00
_cell_angle_gamma 90.00
_symmetry_space_group_name_H-M 'A m m 2'
_symmetry_Int_Tables_number 38
loop_
_symmetry_equiv_pos_as_xyz
'x,y,z'
'-x,-y,z'
'-x,y,z'
'x,-y,z'
'x,y+1/2,z+1/2'
'-x,-y+1/2,z+1/2'
'-x,y+1/2,z+1/2'
'x,-y+1/2,z+1/2'
loop_
_atom_site_label
_atom_site_fract_x
_atom_site_fract_y
_atom_site_fract_z
_atom_site_occupancy
Tb1 0.0000 0.0000 0.0000 1
Tm1 0.0000 0.1881 0.4320 1
Ga1 0.5000 0.0000 0.3960 1
Ga2 0.5000 0.1095 0.7288 1
Ni1 0.0000 0.0000 0.6139 1
Sn1 0.5000 0.1692 0.1199 1
```

crystal system = orthorhombic
energy = -83.16 eV per cell

[5]
Density functional theory data (PBE) for a relaxed PuHfHg crystal.

```
data_PuHfHg
_cell_length_a 7.0275
_cell_length_b 7.0275
_cell_length_c 7.0275
_cell_angle_alpha 90.00
_cell_angle_beta 90.00
_cell_angle_gamma 90.00
_symmetry_space_group_name_H-M 'F -4 3 m'
_symmetry_Int_Tables_number 216
_symmetry_space_group_name_Hall 'F -4 2 3'
loop_
_atom_site_label
_atom_site_fract_x
_atom_site_fract_y
_atom_site_fract_z
_atom_site_occupancy
Pu1 0.0000 0.0000 0.0000 1
Hf1 0.0000 0.0000 0.5000 1
Hg1 0.2500 0.2500 0.7500 1
```

crystal system = cubic
formation enthalpy at 0 K = 0.47 eV/atom
relative energy among the computed polymorphs = 0 meV/atom
energy = -91.93 eV per cell

[6]
Density functional theory data (PBE) for a relaxed NdBiN2O crystal.

```
data_NdBiN2O
_cell_length_a 5.8212
_cell_length_b 5.9361
_cell_length_c 6.1811
_cell_angle_alpha 62.01
_cell_angle_beta 63.48
_cell_angle_gamma 60.64
_symmetry_space_group_name_H-M 'P 1'
_symmetry_Int_Tables_number 1
loop_
_symmetry_equiv_pos_as_xyz
'x,y,z'
loop_
_atom_site_label
_atom_site_fract_x
_atom_site_fract_y
_atom_site_fract_z
_atom_site_occupancy
Nd1 0.0000 0.0000 0.0000 1
Nd2 0.2711 0.2665 0.2083 1
Bi1 0.5000 0.4618 0.5504 1
Bi2 0.7807 0.7868 0.6593 1
N1 0.1757 0.6112 0.3785 1
N2 0.4174 0.0808 0.8455 1
N3 0.6544 0.4309 0.8375 1
N4 0.8570 0.1771 0.3634 1
O1 0.0699 0.6566 0.8727 1
O2 0.6038 0.8545 0.3532 1
```

crystal system = triclinic
energy = -66.31 eV per cell